Below is a geometry-optimized ZnFeRu structure, with properties calculated at the PBEsol level.

Output
For the formation energy, the calculation gives 4.36 kcal/mol of atoms. The density of states at the Fermi level comes out at 2.904 states/eV/f.u. Its polymorph energy (0 for the lowest one) is 23 meV per atom. As for the calculated total energy: -6.717 eV per atom.

Lattice parameters (Å, degrees): 2.800 4.309 12.700 90.00 90.00 90.00
Space group Fmm2 (No. 42)
Symmetry-distinct sites (fractional):
Zn1 0.000 0.000 0.000 x4
Fe1 0.000 0.000 0.664 x4
Ru1 0.000 0.000 0.325 x4

=====

Below is a geometry-optimized Zn2FeRu structure, with properties calculated at the PBEsol level.

Output
For the formation energy, the calculation gives 2.61 kcal/mol of atoms. The density of states at the Fermi level comes out at 2.652 states/eV/f.u. Its polymorph energy (0 for the lowest one) is 71 meV per atom. As for the calculated total energy: -5.462 eV per atom.

Lattice parameters (Å, degrees): 3.067 3.067 5.416 90.00 90.00 90.00
Space group P4/mmm (No. 123)
Symmetry-distinct sites (fractional):
Zn1 0.000 0.000 0.245 x2
Fe1 0.500 0.500 0.000 x1
Ru1 0.500 0.500 0.500 x1

=====

Below is a geometry-optimized ZnFe2Ru structure, with properties calculated at the PBEsol level.

Output
For the formation energy, the calculation gives 2.54 kcal/mol of atoms. The density of states at the Fermi level comes out at 3.978 states/eV/f.u. As for the calculated total energy: -7.310 eV per atom.

Lattice parameters (Å, degrees): 2.565 3.711 5.030 90.00 90.00 90.00
Space group Pmmm (No. 47)
Symmetry-distinct sites (fractional):
Zn1 0.000 0.000 0.000 x1
Fe1 0.500 0.500 0.256 x2
Ru1 0.000 0.000 0.500 x1

=====

Below is a geometry-optimized ZnFeRu structure, with properties calculated at the PBEsol level.

Output
For the formation energy, the calculation gives 3.84 kcal/mol of atoms. The density of states at the Fermi level comes out at 2.527 states/eV/f.u. Its polymorph energy (0 for the lowest one) is 0 meV per atom. As for the calculated total energy: -6.740 eV per atom.

Lattice parameters (Å, degrees): 4.1617 4.1617 2.5517 90.00 90.00 120.00
Space group P3m1 (No. 156)
Symmetry-distinct sites (fractional):
Zn1 0.0000 0.0000 0.0000 x1
Fe1 0.3333 0.6667 0.3025 x1
Ru1 0.6667 0.3333 0.5927 x1

=====

Below is a geometry-optimized Zn2FeRu structure, with properties calculated at the PBEsol level.

Output
For the formation energy, the calculation gives 3.25 kcal/mol of atoms. The density of states at the Fermi level comes out at 3.451 states/eV/f.u. Its polymorph energy (0 for the lowest one) is 99 meV per atom. As for the calculated total energy: -5.434 eV per atom.

Lattice parameters (Å, degrees): 2.857 4.283 8.425 90.00 90.00 90.00
Space group Cmmm (No. 65)
Symmetry-distinct sites (fractional):
Zn1 0.000 0.000 0.243 x4
Fe1 0.000 0.500 0.000 x2
Ru1 0.000 0.500 0.500 x2

=====

Below is a geometry-optimized ZnFe2Ru structure, with properties calculated at the PBEsol level.

Output
For the formation energy, the calculation gives 3.38 kcal/mol of atoms. The density of states at the Fermi level comes out at 4.760 states/eV/f.u. As for the calculated total energy: -7.274 eV per atom.

Lattice parameters (Å, degrees): 3.629 3.629 7.347 90.00 90.00 90.00
Space group I4/mmm (No. 139)
Symmetry-distinct sites (fractional):
Zn1 0.000 0.000 0.000 x2
Fe1 0.000 0.500 0.250 x4
Ru1 0.000 0.000 0.500 x2